Density functional theory data (GGA-PBE) for a relaxed BaIr crystal.

Cell: 6.1595 15.3690 9.3821 Å, 90.00 90.00 90.00°
Element x y z (fractional)
1 Ba 0.0000 0.0000 0.6749
2 Ba 0.0000 0.0000 0.3251
3 Ba 0.2500 0.7500 0.5751
4 Ba 0.2500 0.7500 0.9249
5 Ba 0.0000 0.5000 0.1749
6 Ba 0.0000 0.5000 0.8251
7 Ba 0.2500 0.2500 0.0751
8 Ba 0.2500 0.2500 0.4249
9 Ba 0.5000 0.0000 0.1749
10 Ba 0.5000 0.0000 0.8251
11 Ba 0.7500 0.7500 0.0751
12 Ba 0.7500 0.7500 0.4249
13 Ba 0.5000 0.5000 0.6749
14 Ba 0.5000 0.5000 0.3251
15 Ba 0.7500 0.2500 0.5751
16 Ba 0.7500 0.2500 0.9249
17 Ir 0.0000 0.0805 0.0000
18 Ir 0.0000 0.9195 0.0000
19 Ir 0.2500 0.6695 0.2500
20 Ir 0.2500 0.8305 0.2500
21 Ir 0.0000 0.5805 0.5000
22 Ir 0.0000 0.4195 0.5000
23 Ir 0.2500 0.1695 0.7500
24 Ir 0.2500 0.3305 0.7500
25 Ir 0.5000 0.0805 0.5000
26 Ir 0.5000 0.9195 0.5000
27 Ir 0.7500 0.6695 0.7500
28 Ir 0.7500 0.8305 0.7500
29 Ir 0.5000 0.5805 0.0000
30 Ir 0.5000 0.4195 0.0000
31 Ir 0.7500 0.1695 0.2500
32 Ir 0.7500 0.3305 0.2500

Properties
Final energy in hartree per atom: -0.1887
Calculated volume in Å³/atom: 27.76
D(E_F) in states/eV/f.u.: 1.22